Record 1
Compound: TlCdHg3
Source: Alexandria via LeMat-Bulk
Functional: PBE
Structure: relaxed

The space group is Pm-3m (No. 221) and the conventional cell measures 5.598, 5.598 and 5.598 Å, with angles of 90.00, 90.00 and 90.00 degrees. The distinct sites, in fractional coordinates, are Tl at (0.000, 0.000, 0.000), Cd at (0.500, 0.500, 0.500) and Hg at (0.000, 0.500, 0.500).

The value obtained for the polymorph energy (0 for the lowest one) is 0.72 eV/f.u. The calculation puts the total moment at 0.000 μB per formula unit. For the density of states at the Fermi level, the calculation gives 2.43 states/eV/f.u. Its formation energy is 153 meV/atom.



Record 2
Compound: Tl6Cd2Hg
Source: Alexandria via LeMat-Bulk
Functional: PBE
Structure: relaxed

The space group is P-62m (No. 189) and the conventional cell measures 8.9405, 8.9405 and 3.7955 Å, with angles of 90.00, 90.00 and 120.00 degrees. The distinct sites, in fractional coordinates, are Tl at (0.0000, 0.3785, 0.0000), Tl at (0.0000, 0.7122, 0.5000), Cd at (0.3333, 0.6667, 0.5000) and Hg at (0.0000, 0.0000, 0.0000).

The value obtained for the polymorph energy (0 for the lowest one) is 0.00 eV/f.u. The calculation puts the total moment at 0.000 μB per formula unit. For the density of states at the Fermi level, the calculation gives 3.19 states/eV/f.u. Its formation energy is 25 meV/atom.



Record 3
Compound: Tl2Cd3Hg3
Source: Alexandria via LeMat-Bulk
Functional: PBE
Structure: relaxed

The space group is Pmmm (No. 47) and the conventional cell measures 4.983, 5.016 and 8.493 Å, with angles of 90.00, 90.00 and 90.00 degrees. The distinct sites, in fractional coordinates, are Tl at (0.000, 0.000, 0.249), Cd at (0.000, 0.500, 0.000), Cd at (0.500, 0.500, 0.248), Hg at (0.000, 0.500, 0.500), Hg at (0.500, 0.000, 0.000) and Hg at (0.500, 0.000, 0.500).

The value obtained for the polymorph energy (0 for the lowest one) is 0.00 eV/f.u. The calculation puts the total moment at 0.000 μB per formula unit. For the density of states at the Fermi level, the calculation gives 2.43 states/eV/f.u. Its formation energy is 20 meV/atom.



Record 4
Compound: TlCd2Hg9
Source: Alexandria via LeMat-Bulk
Functional: PBE
Structure: relaxed

The space group is P6/mmm (No. 191) and the conventional cell measures 10.6521, 10.6521 and 3.2872 Å, with angles of 90.00, 90.00 and 120.00 degrees. The distinct sites, in fractional coordinates, are Tl at (0.0000, 0.0000, 0.0000), Cd at (0.3333, 0.6667, 0.0000), Hg at (0.0000, 0.5000, 0.0000) and Hg at (0.1755, 0.3509, 0.5000).

The value obtained for the polymorph energy (0 for the lowest one) is 0.05 eV/f.u. The calculation puts the total moment at 0.000 μB per formula unit. For the density of states at the Fermi level, the calculation gives 3.41 states/eV/f.u. Its formation energy is 11 meV/atom.



Record 5
Compound: TlCd2Hg4
Source: Alexandria via LeMat-Bulk
Functional: PBE
Structure: relaxed

The space group is Cm (No. 8) and the conventional cell measures 5.944, 4.023 and 15.746 Å, with angles of 90.00, 91.80 and 90.00 degrees. The distinct sites, in fractional coordinates, are Tl at (0.000, 0.000, 0.000), Cd at (0.061, 0.000, 0.293), Cd at (0.096, 0.000, 0.564), Hg at (0.205, 0.500, 0.429), Hg at (0.229, 0.500, 0.702), Hg at (0.369, 0.000, 0.844) and Hg at (0.416, 0.000, 0.156).

The value obtained for the polymorph energy (0 for the lowest one) is 0.00 eV/f.u. The calculation puts the total moment at 0.000 μB per formula unit. For the density of states at the Fermi level, the calculation gives 2.13 states/eV/f.u. Its formation energy is 22 meV/atom.



Record 6
Compound: Tl7Cd2Hg2
Source: Alexandria via LeMat-Bulk
Functional: PBE
Structure: relaxed

The space group is Imm2 (No. 44) and the conventional cell measures 3.656, 17.495 and 10.268 Å, with angles of 90.00, 90.00 and 90.00 degrees. The distinct sites, in fractional coordinates, are Tl at (0.000, 0.000, 0.000), Tl at (0.000, 0.104, 0.453), Tl at (0.000, 0.328, 0.678), Tl at (0.000, 0.349, 0.245), Cd at (0.000, 0.000, 0.705), Cd at (0.000, 0.500, 0.754) and Hg at (0.000, 0.238, 0.957).

The value obtained for the polymorph energy (0 for the lowest one) is 0.00 eV/f.u. The calculation puts the total moment at 0.000 μB per formula unit. For the density of states at the Fermi level, the calculation gives 5.77 states/eV/f.u. Its formation energy is 44 meV/atom.



Record 7
Compound: Tl2CdHg
Source: Alexandria via LeMat-Bulk
Functional: PBE
Structure: relaxed

The space group is Cmmm (No. 65) and the conventional cell measures 4.218, 5.367 and 10.013 Å, with angles of 90.00, 90.00 and 90.00 degrees. The distinct sites, in fractional coordinates, are Tl at (0.000, 0.000, 0.244), Cd at (0.000, 0.500, 0.000) and Hg at (0.000, 0.500, 0.500).

The value obtained for the polymorph energy (0 for the lowest one) is 0.05 eV/f.u. The calculation puts the total moment at 0.000 μB per formula unit. For the density of states at the Fermi level, the calculation gives 1.04 states/eV/f.u. Its formation energy is 25 meV/atom.



Record 8
Compound: TlCd5Hg4
Source: Alexandria via LeMat-Bulk
Functional: PBE
Structure: relaxed

The space group is P4/mmm (No. 123) and the conventional cell measures 3.779, 3.779 and 17.632 Å, with angles of 90.00, 90.00 and 90.00 degrees. The distinct sites, in fractional coordinates, are Tl at (0.000, 0.000, 0.000), Cd at (0.500, 0.500, 0.119), Cd at (0.500, 0.500, 0.310), Cd at (0.500, 0.500, 0.500), Hg at (0.000, 0.000, 0.210) and Hg at (0.000, 0.000, 0.403).

The calculation puts the total moment at 0.000 μB per formula unit. For the density of states at the Fermi level, the calculation gives 2.69 states/eV/f.u. Its formation energy is 24 meV/atom.